Entry 1:
{"formula": "TmPuGaHg", "functional": "PBE", "state": "relaxed", "lattice": [[0.000, 3.657, 3.657], [3.657, 0.000, 3.657], [3.657, 3.657, 0.000]], "species": ["Tm", "Pu", "Ga", "Hg"], "fractional_positions": [[0.000, 0.000, 0.000], [0.500, 0.500, 0.500], [0.250, 0.250, 0.250], [0.750, 0.750, 0.750]], "final_energy_ev_per_atom": -5.848, "total_magnetization_mub_per_atom": 1.5212}



Entry 2:
{"formula": "Nd3B8Os3", "functional": "PBE", "state": "relaxed", "lattice": [[-1.563, 4.830, 6.306], [1.563, -4.830, 6.306], [1.563, 4.830, -6.306]], "species": ["Nd", "Nd", "Nd", "B", "B", "B", "B", "B", "B", "B", "B", "Os", "Os", "Os"], "fractional_positions": [[0.000, 0.000, 0.000], [0.281, 0.281, 0.000], [0.719, 0.719, 0.000], [0.030, 0.352, 0.679], [0.107, 0.872, 0.235], [0.327, 0.648, 0.679], [0.363, 0.128, 0.235], [0.637, 0.872, 0.765], [0.673, 0.352, 0.321], [0.893, 0.128, 0.765], [0.970, 0.648, 0.321], [0.284, 0.500, 0.784], [0.500, 0.000, 0.500], [0.716, 0.500, 0.216]], "final_energy_ev_per_atom": -7.259, "total_magnetization_mub_per_atom": 0.0000}



Entry 3:
{"formula": "SmTmHgAu", "functional": "PBE", "state": "relaxed", "lattice": [[3.668, 0.000, 0.000], [0.000, 3.668, 0.000], [0.000, 0.000, 7.369]], "species": ["Sm", "Tm", "Hg", "Au"], "fractional_positions": [[0.000, 0.000, 0.000], [0.000, 0.000, 0.478], [0.500, 0.500, 0.727], [0.500, 0.500, 0.262]], "final_energy_ev_per_atom": -3.851, "total_magnetization_mub_per_atom": 0.0007, "relative_energy_ev_per_atom": 0.000}